No. 1
Computed, not measured: an optimized crystal structure of Ca3P3Pt at the PBE level of DFT. Values from VASP.

```
&SYSTEM
  ibrav = 0, nat = 14, ntyp = 3
/
ATOMIC_SPECIES
Ca 40.08 Ca.upf
P 30.97 P.upf
Pt 195.08 Pt.upf
CELL_PARAMETERS angstrom
5.7735 0.0000 0.0000
0.0000 7.3269 -4.2302
0.0000 0.0000 8.4604
ATOMIC_POSITIONS crystal
Ca 0.2500 0.6268 0.9223
P 0.2500 0.7014 0.6203
Ca 0.7500 0.7046 0.6268
Pt 0.7500 0.3333 0.6667
Pt 0.2500 0.6667 0.3333
P 0.7500 0.6203 0.9189
P 0.2500 0.9189 0.2986
P 0.2500 0.3797 0.0811
P 0.7500 0.0811 0.7014
Ca 0.2500 0.0777 0.7046
Ca 0.7500 0.3732 0.0777
P 0.7500 0.2986 0.3797
Ca 0.7500 0.9223 0.2954
Ca 0.2500 0.2954 0.3732
```

- energy relative to the elements (kJ per mole of atoms) = -81.16
- total moment (μB per cell) = 0.0
- E (eV per atom) = -4.881
- space-group type = P6_3/m (176)

No. 2
Computed, not measured: an optimized crystal structure of Cu5Hg at the PBE level of DFT. Values from VASP.

```
&SYSTEM
  ibrav = 0, nat = 6, ntyp = 2
/
ATOMIC_SPECIES
Hg 200.59 Hg.upf
Cu 63.55 Cu.upf
CELL_PARAMETERS angstrom
1.8843 -5.5561 0.0000
1.8843 5.5561 0.0000
0.0000 0.0000 3.8936
ATOMIC_POSITIONS crystal
Hg 0.5000 0.5000 0.0000
Cu 0.1752 0.8248 0.0000
Cu 0.6746 0.3254 0.5000
Cu 0.8248 0.1752 0.0000
Cu 0.3254 0.6746 0.5000
Cu 0.0000 0.0000 0.5000
```

- energy relative to the elements (kJ per mole of atoms) = 9.97
- total moment (μB per cell) = 0.0
- E (eV per atom) = -3.360
- space-group type = Cmmm (65)

No. 3
Computed, not measured: an optimized crystal structure of Sn2PdCS at the PBE level of DFT. Values from VASP.

```
&SYSTEM
  ibrav = 0, nat = 5, ntyp = 4
/
ATOMIC_SPECIES
S 32.06 S.upf
Pd 106.42 Pd.upf
Sn 118.71 Sn.upf
C 12.01 C.upf
CELL_PARAMETERS angstrom
-3.0315 4.1314 1.3934
-1.0574 -2.0766 3.8565
4.1782 2.2676 2.3667
ATOMIC_POSITIONS crystal
S 0.0000 0.5000 0.0000
Pd 0.0000 0.0000 0.0000
Sn 0.0000 0.0000 0.5000
Sn 0.5000 0.0000 0.0000
C 0.5000 0.5000 0.5000
```

- uncorrected formation energy (eV per atom) = 1.3596
- total moment (μB per cell) = 1.8
- E (eV per atom) = -3.950
- space-group type = P4/mmm (123)

No. 4
Computed, not measured: an optimized crystal structure of Cs3NpCl4O2 at the PBE level of DFT. Values from VASP.

```
&SYSTEM
  ibrav = 0, nat = 20, ntyp = 4
/
ATOMIC_SPECIES
Cl 35.45 Cl.upf
Cs 132.91 Cs.upf
O 16.00 O.upf
Np 237.00 Np.upf
CELL_PARAMETERS angstrom
-4.0788 -4.8028 -5.9958
-1.5642 -8.5560 -0.0314
-12.2219 -3.2982 3.0774
ATOMIC_POSITIONS crystal
Cl 0.2890 0.3925 0.8716
Cs 0.1644 0.5289 0.1313
Cl 0.2801 0.9079 0.9588
Cs 0.9104 0.0896 0.2500
O 0.9177 0.6888 0.3661
Cl 0.0921 0.7199 0.5412
Cl 0.7110 0.6075 0.1284
Cs 0.4711 0.8356 0.3687
Cs 0.0896 0.9104 0.7500
Cl 0.9079 0.2801 0.4588
Cs 0.8356 0.4711 0.8687
Np 0.0000 0.5000 0.5000
Np 0.5000 0.0000 0.0000
Cs 0.5289 0.1644 0.6313
O 0.6888 0.9177 0.8661
O 0.3112 0.0823 0.1339
Cl 0.3925 0.2890 0.3716
Cl 0.7199 0.0921 0.0412
O 0.0823 0.3112 0.6339
Cl 0.6075 0.7110 0.6284
```

- uncorrected formation energy (eV per atom) = -2.2158
- total moment (μB per cell) = 4.0
- E (eV per atom) = -5.496
- space-group type = C2/c (15)

No. 5
Computed, not measured: an optimized crystal structure of Ba2LiSO at the PBE level of DFT. Values from VASP.

```
&SYSTEM
  ibrav = 0, nat = 5, ntyp = 4
/
ATOMIC_SPECIES
O 16.00 O.upf
S 32.06 S.upf
Ba 137.33 Ba.upf
Li 6.94 Li.upf
CELL_PARAMETERS angstrom
-4.1142 1.5895 3.2461
-2.7921 -4.5210 -1.3249
1.6629 -1.9201 3.0478
ATOMIC_POSITIONS crystal
O 0.0000 0.0000 0.0000
S 0.5000 0.5000 0.5000
Ba 0.0000 0.5000 0.0000
Ba 0.5000 0.0000 0.0000
Li 0.0000 0.0000 0.5000
```

- uncorrected formation energy (eV per atom) = -1.6556
- total moment (μB per cell) = 0.0
- E (eV per atom) = -4.625
- space-group type = P4/mmm (123)

No. 6
Computed, not measured: an optimized crystal structure of TiInCo3 at the PBE level of DFT. Values from VASP.

```
&SYSTEM
  ibrav = 0, nat = 5, ntyp = 3
/
ATOMIC_SPECIES
Co 58.93 Co.upf
Ti 47.87 Ti.upf
In 114.82 In.upf
CELL_PARAMETERS angstrom
4.5999 0.0000 0.0000
0.0000 4.5999 0.0000
0.0000 0.0000 4.5999
ATOMIC_POSITIONS crystal
Co 0.0000 0.0000 0.5000
Ti 0.5000 0.5000 0.5000
In 0.0000 0.0000 0.0000
Co 0.5000 0.0000 0.0000
Co 0.0000 0.5000 0.0000
```

- energy relative to the elements (kJ per mole of atoms) = 138.06
- total moment (μB per cell) = 2.6
- relative energy among the computed polymorphs (meV/atom) = 623
- E (eV per atom) = -4.959
- space-group type = Pm-3m (221)

No. 7
Computed, not measured: an optimized crystal structure of BeZn2PN4 at the PBE level of DFT. Values from VASP.

```
&SYSTEM
  ibrav = 0, nat = 16, ntyp = 4
/
ATOMIC_SPECIES
Be 9.01 Be.upf
N 14.01 N.upf
Zn 65.41 Zn.upf
P 30.97 P.upf
CELL_PARAMETERS angstrom
5.0243 0.0000 0.0000
0.0000 5.4759 0.0000
0.0000 0.0000 5.7516
ATOMIC_POSITIONS crystal
Be 0.9981 0.1472 0.5000
N 0.8494 0.8901 0.0000
Be 0.4981 0.8528 0.0000
Zn 0.5039 0.3361 0.7470
N 0.9084 0.3058 0.2412
N 0.9084 0.3058 0.7588
N 0.4084 0.6942 0.7412
N 0.3300 0.1346 0.0000
Zn 0.0039 0.6639 0.2470
Zn 0.0039 0.6639 0.7530
N 0.4084 0.6942 0.2588
N 0.8300 0.8654 0.5000
Zn 0.5039 0.3361 0.2530
N 0.3494 0.1099 0.5000
P 0.9979 0.1628 0.0000
P 0.4979 0.8372 0.5000
```

- uncorrected formation energy (eV per atom) = -0.3711
- total moment (μB per cell) = 0.1
- E (eV per atom) = -5.994
- space-group type = Pmn2_1 (31)

No. 8
Computed, not measured: an optimized crystal structure of Li5Np3Br12 at the PBE level of DFT. Values from VASP.

```
&SYSTEM
  ibrav = 0, nat = 80, ntyp = 3
/
ATOMIC_SPECIES
Li 6.94 Li.upf
Br 79.90 Br.upf
Np 237.00 Np.upf
CELL_PARAMETERS angstrom
14.2129 0.0000 0.0000
-4.7376 13.4001 0.0000
-4.7376 -6.7000 11.6048
ATOMIC_POSITIONS crystal
Li 0.1250 0.7500 0.3750
Br 0.0345 0.6245 0.7147
Br 0.5902 0.8755 0.4100
Li 0.3750 0.1250 0.7500
Br 0.8198 0.9098 0.2853
Br 0.9100 0.8198 0.5345
Br 0.4098 0.2853 0.3198
Br 0.8198 0.9100 0.0345
Li 0.0000 0.0000 0.0000
Li 0.5000 0.0000 0.0000
Li 0.6250 0.8750 0.2500
Br 0.2853 0.8755 0.9655
Np 0.2500 0.1250 0.3750
Br 0.5902 0.7147 0.6802
Br 0.2853 0.4098 0.8198
Li 0.5000 0.5000 0.0000
Br 0.9098 0.0900 0.6245
Br 0.7147 0.1245 0.0345
Br 0.2147 0.6802 0.0902
Br 0.0900 0.9098 0.1245
Br 0.4655 0.6802 0.0900
Li 0.3750 0.2500 0.1250
Br 0.7853 0.3198 0.9098
Li 0.6250 0.7500 0.8750
Br 0.0902 0.9100 0.3755
Li 0.7500 0.6250 0.3750
Np 0.1250 0.8750 0.7500
Np 0.3750 0.6250 0.2500
Li 0.7500 0.1250 0.8750
Br 0.5900 0.6245 0.4098
Np 0.7500 0.3750 0.1250
Br 0.4655 0.7853 0.8755
Np 0.7500 0.8750 0.6250
Li 0.5000 0.0000 0.5000
Np 0.2500 0.6250 0.8750
Br 0.9655 0.5900 0.1802
Br 0.3198 0.7853 0.4098
Br 0.9100 0.0902 0.8755
Np 0.8750 0.1250 0.2500
Br 0.3755 0.9655 0.7853
Br 0.4100 0.0345 0.3198
Br 0.1245 0.4098 0.0900
Br 0.8755 0.5902 0.9100
Br 0.1802 0.0900 0.9655
Br 0.5900 0.9655 0.6802
Br 0.0902 0.1802 0.2147
Li 0.5000 0.5000 0.5000
Br 0.1802 0.0902 0.7147
Li 0.8750 0.6250 0.7500
Li 0.2500 0.3750 0.6250
Li 0.1250 0.3750 0.2500
Np 0.8750 0.7500 0.1250
Br 0.5345 0.3198 0.9100
Br 0.6245 0.5900 0.9098
Li 0.2500 0.8750 0.1250
Br 0.0345 0.4100 0.8198
Br 0.7147 0.5902 0.1802
Br 0.8755 0.2853 0.4655
Br 0.9655 0.3755 0.2853
Br 0.3198 0.5345 0.4100
Np 0.6250 0.2500 0.3750
Li 0.0000 0.5000 0.0000
Np 0.6250 0.3750 0.7500
Li 0.8750 0.2500 0.6250
Br 0.6802 0.2147 0.5902
Br 0.4100 0.3755 0.5902
Br 0.6802 0.4655 0.5900
Br 0.0900 0.1802 0.4655
Br 0.7853 0.4655 0.3755
Li 0.0000 0.0000 0.5000
Br 0.5345 0.2147 0.1245
Np 0.1250 0.2500 0.8750
Br 0.2147 0.5345 0.6245
Br 0.1245 0.7147 0.5345
Br 0.6245 0.0345 0.2147
Li 0.0000 0.5000 0.5000
Br 0.9098 0.8198 0.7853
Br 0.3755 0.4100 0.0902
Br 0.4098 0.1245 0.5900
Np 0.3750 0.7500 0.6250
```

- uncorrected formation energy (eV per atom) = -1.3099
- total moment (μB per cell) = 56.0
- E (eV per atom) = -4.733
- space-group type = Ia-3d (230)

Q: Which formula does entry 8 have?
A: Li5Np3Br12

Q: Number 4 is which compound?
A: Cs3NpCl4O2

Q: Which formula does entry 4 have?
A: Cs3NpCl4O2